# GaSi2BIr | the Alexandria database | PBE | optimized geometry
data_GaSi2BIr
_cell_length_a 4.112
_cell_length_b 4.112
_cell_length_c 4.296
_cell_angle_alpha 90.00
_cell_angle_beta 90.00
_cell_angle_gamma 90.00
_symmetry_space_group_name_H-M 'P 1'
_symmetry_Int_Tables_number 1
loop_
_symmetry_equiv_pos_as_xyz
'x,y,z'
loop_
_atom_site_label
_atom_site_type_symbol
_atom_site_fract_x
_atom_site_fract_y
_atom_site_fract_z
Ga1 Ga 0.000 0.000 0.000
Si1 Si 0.000 0.500 0.500
Si2 Si 0.500 0.000 0.500
B1 B 0.500 0.500 0.500
Ir1 Ir 0.500 0.500 0.000
# - Theoretical density: 7.52 Mg/m³
# - DOS at the Fermi energy: 0.428 states/eV/atom
# - E_form (uncorrected): 0.523 eV per atom
# - Total magnetic moment: 0.00 Bohr magnetons per cell
# - Space group: P4/mmm, No. 123